(1)
LiNbTcS2 after structural relaxation, computed with PBE.

The structure in POSCAR format:
```
LiNbTcS2
1.0
-0.342 4.425 -0.881
-1.959 -0.871 -3.616
-3.989 0.117 2.133
Li S Nb Tc
1 2 1 1
direct
0.000 0.500 0.000 Li
0.000 0.000 0.500 S
0.500 0.000 0.000 S
0.500 0.500 0.500 Nb
0.000 0.000 0.000 Tc
```

Calculated values
* electronic total energy: -0.202 hartree per atom
* raw formation energy: 3.1 eV per formula unit


(2)
Li2NbTcS after structural relaxation, computed with PBE.

The structure in POSCAR format:
```
Li2NbTcS
1.0
-3.149 -2.980 0.557
2.495 -2.105 2.842
-1.686 2.389 3.249
S Tc Li Nb
1 1 2 1
direct
0.000 0.500 0.000 S
0.000 0.000 0.000 Tc
0.000 0.000 0.500 Li
0.500 0.000 0.000 Li
0.500 0.500 0.500 Nb
```

Calculated values
* electronic total energy: -0.178 hartree per atom
* raw formation energy: 4.1 eV per formula unit


(3)
Li2TiNb2S6 after structural relaxation, computed with PBE.

The structure in POSCAR format:
```
Li2TiNb2S6
1.0
-4.027 4.357 -0.630
1.156 -2.206 5.422
5.436 3.705 -0.637
Nb S Li Ti
2 6 2 1
direct
0.642 0.358 0.500 Nb
0.358 0.642 0.500 Nb
0.934 0.599 0.271 S
0.066 0.401 0.729 S
0.240 0.240 0.246 S
0.599 0.934 0.271 S
0.760 0.760 0.754 S
0.401 0.066 0.729 S
0.823 0.177 0.000 Li
0.177 0.823 0.000 Li
0.000 0.000 0.500 Ti
```

Calculated values
* electronic total energy: -0.234 hartree per atom
* raw formation energy: -13.4 eV per formula unit